Entry 1:
{
  "formula": "Hf2Ga2Pt",
  "functional": "PBE",
  "state": "relaxed",
  "lattice_angstrom": [[-2.039, 2.039, 5.912], [2.039, -2.039, 5.912], [2.039, 2.039, -5.912]],
  "species": ["Hf", "Hf", "Ga", "Ga", "Pt"],
  "frac_coords": [[0.250, 0.750, 0.500], [0.750, 0.250, 0.500], [0.095, 0.095, 0.000], [0.905, 0.905, 0.000], [0.500, 0.500, 0.000]],
  "space_group": "I4/mmm, No. 139",
  "e_above_lowest_polymorph_ev_per_atom": 0.282,
  "crystal_system": "tetragonal",
  "vol_a3_per_cell": 98.31,
  "e_tot_ev_per_atom": -6.239
}



Entry 2:
{
  "formula": "Hf2Ga2Pt",
  "functional": "PBE",
  "state": "relaxed",
  "lattice_angstrom": [[-1.826, 1.826, 6.772], [1.826, -1.826, 6.772], [1.826, 1.826, -6.772]],
  "species": ["Hf", "Hf", "Ga", "Ga", "Pt"],
  "frac_coords": [[0.098, 0.098, 0.000], [0.902, 0.902, 0.000], [0.250, 0.750, 0.500], [0.750, 0.250, 0.500], [0.500, 0.500, 0.000]],
  "space_group": "I4/mmm, No. 139",
  "e_above_lowest_polymorph_ev_per_atom": 0.000,
  "crystal_system": "tetragonal",
  "vol_a3_per_cell": 90.32,
  "e_tot_ev_per_atom": -6.521
}



Entry 3:
{
  "formula": "Hf2GaPt",
  "functional": "PBE",
  "state": "relaxed",
  "lattice_angstrom": [[0.000, 3.329, 3.329], [3.329, 0.000, 3.329], [3.329, 3.329, 0.000]],
  "species": ["Hf", "Hf", "Ga", "Pt"],
  "frac_coords": [[0.000, 0.000, 0.000], [0.250, 0.250, 0.250], [0.500, 0.500, 0.500], [0.750, 0.750, 0.750]],
  "space_group": "F-43m, No. 216",
  "crystal_system": "cubic",
  "vol_a3_per_cell": 73.75,
  "e_tot_ev_per_atom": -7.490
}



Entry 4:
{
  "formula": "HfGaPt",
  "functional": "PBE",
  "state": "relaxed",
  "lattice_angstrom": [[0.000, 3.144, 3.144], [3.144, 0.000, 3.144], [3.144, 3.144, 0.000]],
  "species": ["Hf", "Ga", "Pt"],
  "frac_coords": [[0.000, 0.000, 0.000], [0.750, 0.750, 0.750], [0.250, 0.250, 0.250]],
  "space_group": "F-43m, No. 216",
  "crystal_system": "cubic",
  "vol_a3_per_cell": 62.16,
  "e_tot_ev_per_atom": -6.673
}



Entry 5:
{
  "formula": "HfGa2Pt",
  "functional": "PBE",
  "state": "relaxed",
  "lattice_angstrom": [[0.000, 3.264, 3.264], [3.264, 0.000, 3.264], [3.264, 3.264, 0.000]],
  "species": ["Hf", "Ga", "Ga", "Pt"],
  "frac_coords": [[0.000, 0.000, 0.000], [0.250, 0.250, 0.250], [0.500, 0.500, 0.500], [0.750, 0.750, 0.750]],
  "space_group": "F-43m, No. 216",
  "crystal_system": "cubic",
  "vol_a3_per_cell": 69.52,
  "e_tot_ev_per_atom": -6.056
}



Entry 6:
{
  "formula": "TmHfGa2Pt4",
  "functional": "PBE",
  "state": "relaxed",
  "lattice_angstrom": [[4.328, 0.000, 0.000], [-2.164, 3.748, 0.000], [0.000, 0.000, 8.869]],
  "species": ["Tm", "Hf", "Ga", "Ga", "Pt", "Pt", "Pt", "Pt"],
  "frac_coords": [[0.000, 0.000, 0.000], [0.667, 0.333, 0.500], [0.333, 0.667, 0.250], [0.333, 0.667, 0.750], [0.000, 0.000, 0.346], [0.000, 0.000, 0.654], [0.667, 0.333, 0.171], [0.667, 0.333, 0.829]],
  "space_group": "P-6m2, No. 187",
  "crystal_system": "hexagonal",
  "vol_a3_per_cell": 143.85,
  "e_tot_ev_per_atom": -6.622
}



Entry 7:
{
  "formula": "YHfGa2Pt4",
  "functional": "PBE",
  "state": "relaxed",
  "lattice_angstrom": [[4.341, 0.000, 0.000], [-2.171, 3.760, 0.000], [0.000, 0.000, 8.948]],
  "species": ["Y", "Hf", "Ga", "Ga", "Pt", "Pt", "Pt", "Pt"],
  "frac_coords": [[0.000, 0.000, 0.000], [0.333, 0.667, 0.500], [0.667, 0.333, 0.251], [0.667, 0.333, 0.749], [0.000, 0.000, 0.347], [0.000, 0.000, 0.653], [0.333, 0.667, 0.175], [0.333, 0.667, 0.825]],
  "space_group": "P-6m2, No. 187",
  "crystal_system": "hexagonal",
  "vol_a3_per_cell": 146.05,
  "e_tot_ev_per_atom": -6.855
}



Entry 8:
{
  "formula": "HfZn2GaPt4",
  "functional": "PBE",
  "state": "relaxed",
  "lattice_angstrom": [[4.455, 0.000, 0.000], [0.000, 4.455, 0.000], [0.000, 0.000, 6.361]],
  "species": ["Hf", "Zn", "Zn", "Ga", "Pt", "Pt", "Pt", "Pt"],
  "frac_coords": [[0.000, 0.000, 0.000], [0.000, 0.000, 0.500], [0.500, 0.500, 0.000], [0.500, 0.500, 0.500], [0.000, 0.500, 0.261], [0.000, 0.500, 0.739], [0.500, 0.000, 0.261], [0.500, 0.000, 0.739]],
  "space_group": "P4/mmm, No. 123",
  "crystal_system": "tetragonal",
  "vol_a3_per_cell": 126.24,
  "e_tot_ev_per_atom": -5.663
}